[1]
Entry from OQMD via LeMat-Bulk: LuBeO3 after structural relaxation (PBE).

The value obtained for the total energy is -7.18 eV/atom. Its symmetry is No. 99. Its total magnetic moment is 0.1 μB per cell.

a = 3.2414 Å, b = 3.2414 Å, c = 4.3883 Å
α = 90.00°, β = 90.00°, γ = 90.00°
With the nearest neighbours (Å) after each atom.
Fractional positions:
Lu: 0.0000 0.0000 0.0000  8 O 2.26-2.38
Be: 0.5000 0.5000 0.5116  5 O 1.60-1.72
O: 0.0000 0.5000 0.6400  2 Be 1.72
O: 0.5000 0.0000 0.6400  2 Be 1.72
O: 0.5000 0.5000 0.1458  1 Be 1.60

---

[2]
Entry from OQMD via LeMat-Bulk: Pr2F after structural relaxation (PBE).

Its symmetry is No. 227. Its total magnetic moment is 7.6 μB per cell. The value obtained for the polymorph energy (0 for the lowest one) is 0 meV per atom.

a = 7.6994 Å, b = 7.6994 Å, c = 7.6994 Å
α = 60.00°, β = 60.00°, γ = 60.00°
With the nearest neighbours (Å) after each atom.
Fractional positions:
Pr: 0.0000 0.0000 0.0000  2 F 2.36
Pr: 0.0000 0.0000 0.5000  2 F 2.36
Pr: 0.0000 0.5000 0.0000  2 F 2.36
Pr: 0.5000 0.0000 0.0000  2 F 2.36
F: 0.1250 0.1250 0.1250  4 Pr 2.36
F: 0.8750 0.8750 0.8750  4 Pr 2.36

---

[3]
Entry from OQMD via LeMat-Bulk: PmUB after structural relaxation (PBE).

Its symmetry is No. 216. Its total magnetic moment is 2.0 μB per cell. The value obtained for the polymorph energy (0 for the lowest one) is 0 meV per atom.

a = 4.4599 Å, b = 4.4599 Å, c = 4.4599 Å
α = 60.00°, β = 60.00°, γ = 60.00°
With the nearest neighbours (Å) after each atom.
Fractional positions:
Pm: 0.0000 0.0000 0.0000  4 B 2.73
U: 0.5000 0.5000 0.5000  4 B 2.73
B: 0.2500 0.2500 0.2500  4 U 2.73, 4 Pm 2.73

---

[4]
Entry from OQMD via LeMat-Bulk: La3Mg3PtAu2 after structural relaxation (PBE).

The value obtained for the total energy is -4.30 eV/atom. Its symmetry is No. 189. Its total magnetic moment is 0.0 μB per cell.

a = 7.7929 Å, b = 7.7929 Å, c = 4.2511 Å
α = 90.00°, β = 90.00°, γ = 120.00°
With the nearest neighbours (Å) after each atom.
Fractional positions:
La: 0.0000 0.4075 0.0000  1 Pt 3.18, 4 Au 3.18, 6 Mg 3.48-3.52
La: 0.4075 0.0000 0.0000  1 Pt 3.18, 4 Au 3.18, 6 Mg 3.48-3.52
La: 0.5925 0.5925 0.0000  1 Pt 3.18, 4 Au 3.18, 6 Mg 3.48-3.52
Mg: 0.0000 0.7681 0.5000  2 Pt 2.79, 2 Au 3.07
Mg: 0.2319 0.2319 0.5000  2 Pt 2.79, 2 Au 3.07
Mg: 0.7681 0.0000 0.5000  2 Pt 2.79, 2 Au 3.07
Pt: 0.0000 0.0000 0.0000  6 Mg 2.79
Au: 0.3333 0.6667 0.5000  3 Mg 3.07, 6 La 3.18
Au: 0.6667 0.3333 0.5000  3 Mg 3.07, 6 La 3.18

---

[5]
Entry from OQMD via LeMat-Bulk: CsAuF4 after structural relaxation (PBE).

The value obtained for the total energy is -3.65 eV/atom. Its symmetry is No. 15.

a = 6.1098 Å, b = 6.1098 Å, c = 7.8813 Å
α = 104.58°, β = 104.58°, γ = 48.92°
With the nearest neighbours (Å) after each atom.
Fractional positions:
Cs: 0.2092 0.7908 0.7500  10 F 2.87-3.18
Cs: 0.7908 0.2092 0.2500  10 F 2.87-3.18
Au: 0.0000 0.5000 0.0000  4 F 1.95-1.97
Au: 0.5000 0.0000 0.5000  4 F 1.95-1.97
F: 0.1708 0.2842 0.6414  1 Au 1.97
F: 0.2270 0.6355 0.0722  1 Au 1.95
F: 0.2842 0.1708 0.1414  1 Au 1.97
F: 0.3645 0.7730 0.4278  1 Au 1.95
F: 0.6355 0.2270 0.5722  1 Au 1.95
F: 0.7158 0.8292 0.8586  1 Au 1.97
F: 0.7730 0.3645 0.9278  1 Au 1.95
F: 0.8292 0.7158 0.3586  1 Au 1.97

---

[6]
Entry from OQMD via LeMat-Bulk: DyZrSi after structural relaxation (PBE).

The value obtained for the total energy is -6.80 eV/atom. Its symmetry is No. 189. Its total magnetic moment is 0.1 μB per cell.

a = 7.4799 Å, b = 7.4799 Å, c = 4.1388 Å
α = 90.00°, β = 90.00°, γ = 120.00°
With the nearest neighbours (Å) after each atom.
Fractional positions:
Dy: 0.0000 0.5884 0.0000  5 Si 3.06-3.08, 6 Zr 3.30-3.39
Dy: 0.4116 0.4116 0.0000  5 Si 3.06-3.08, 6 Zr 3.30-3.39
Dy: 0.5884 0.0000 0.0000  5 Si 3.06-3.08, 6 Zr 3.30-3.39
Zr: 0.0000 0.2456 0.5000  4 Si 2.77-2.88
Zr: 0.2456 0.0000 0.5000  4 Si 2.77-2.88
Zr: 0.7544 0.7544 0.5000  4 Si 2.77-2.88
Si: 0.0000 0.0000 0.0000  6 Zr 2.77, 3 Dy 3.08
Si: 0.3333 0.6667 0.5000  3 Zr 2.88, 6 Dy 3.06
Si: 0.6667 0.3333 0.5000  3 Zr 2.88, 6 Dy 3.06